1.
# MgTaFeSi

A relaxed MgTaFeSi crystal (PBE, OQMD via LeMat-Bulk).

The total magnetization is 0.9 Bohr magnetons per cell. The excess energy over the best structure of this formula in the dataset comes out at 0 meV per atom.

```
MgTaFeSi
1.0
2.170 -3.038 2.155
-2.138 -3.135 2.045
0.130 -4.035 -1.509
Ta Mg Si Fe
1 1 1 1
direct
0.500 0.500 0.500
0.250 0.250 0.250
0.000 0.000 0.000
0.750 0.750 0.750
```

2.
# MgTaFeSi

A relaxed MgTaFeSi crystal (PBE, OQMD via LeMat-Bulk).

The total magnetization is 2.3 Bohr magnetons per cell. The excess energy over the best structure of this formula in the dataset comes out at 128 meV per atom.

```
MgTaFeSi
1.0
0.000 3.080 3.080
3.080 0.000 3.080
3.080 3.080 0.000
Ta Mg Si Fe
1 1 1 1
direct
0.250 0.250 0.250
0.500 0.500 0.500
0.000 0.000 0.000
0.750 0.750 0.750
```

3.
# MgFeSiTc

A relaxed MgFeSiTc crystal (PBE, OQMD via LeMat-Bulk).

The total magnetization is 1.9 Bohr magnetons per cell. The excess energy over the best structure of this formula in the dataset comes out at 0 meV per atom.

```
MgFeSiTc
1.0
0.000 2.958 2.958
2.958 0.000 2.958
2.958 2.958 0.000
Fe Mg Si Tc
1 1 1 1
direct
0.750 0.750 0.750
0.500 0.500 0.500
0.000 0.000 0.000
0.250 0.250 0.250
```

4.
# MgFeSiW

A relaxed MgFeSiW crystal (PBE, OQMD via LeMat-Bulk).

The total magnetization is 1.9 Bohr magnetons per cell. The excess energy over the best structure of this formula in the dataset comes out at 39 meV per atom.

```
MgFeSiW
1.0
-2.184 -2.943 -2.181
-4.069 -0.806 0.992
-3.118 1.191 -2.654
Fe Si W Mg
1 1 1 1
direct
0.750 0.750 0.750
0.000 0.000 0.000
0.500 0.500 0.500
0.250 0.250 0.250
```

5.
# MgFeSiW

A relaxed MgFeSiW crystal (PBE, OQMD via LeMat-Bulk).

The total magnetization is 2.6 Bohr magnetons per cell. The excess energy over the best structure of this formula in the dataset comes out at 0 meV per atom.

```
MgFeSiW
1.0
0.000 3.028 3.028
3.028 0.000 3.028
3.028 3.028 0.000
Mg W Fe Si
1 1 1 1
direct
0.500 0.500 0.500
0.250 0.250 0.250
0.750 0.750 0.750
0.000 0.000 0.000
```

6.
# MgZnFeSi

A relaxed MgZnFeSi crystal (PBE, OQMD via LeMat-Bulk).

The total magnetization is 1.2 Bohr magnetons per cell. The excess energy over the best structure of this formula in the dataset comes out at 0 meV per atom.

```
MgZnFeSi
1.0
0.000 2.983 2.983
2.983 0.000 2.983
2.983 2.983 0.000
Zn Fe Si Mg
1 1 1 1
direct
0.750 0.750 0.750
0.000 0.000 0.000
0.250 0.250 0.250
0.500 0.500 0.500
```

7.
# MgZnFeSi

A relaxed MgZnFeSi crystal (PBE, OQMD via LeMat-Bulk).

The total magnetization is 1.3 Bohr magnetons per cell. The excess energy over the best structure of this formula in the dataset comes out at 58 meV per atom.

```
MgZnFeSi
1.0
0.000 2.974 2.974
2.974 0.000 2.974
2.974 2.974 0.000
Fe Si Zn Mg
1 1 1 1
direct
0.750 0.750 0.750
0.000 0.000 0.000
0.250 0.250 0.250
0.500 0.500 0.500
```

8.
# MgZrFeSi

A relaxed MgZrFeSi crystal (PBE, OQMD via LeMat-Bulk).

The total magnetization is 2.0 Bohr magnetons per cell. The excess energy over the best structure of this formula in the dataset comes out at 210 meV per atom.

```
MgZrFeSi
1.0
-3.778 -0.744 2.267
-3.639 2.447 -0.857
-3.508 -1.856 -2.052
Zr Mg Fe Si
1 1 1 1
direct
0.000 0.000 0.000
0.750 0.750 0.750
0.500 0.500 0.500
0.250 0.250 0.250
```

9.
# MgZrFeSi

A relaxed MgZrFeSi crystal (PBE, OQMD via LeMat-Bulk).

The total magnetization is 1.4 Bohr magnetons per cell. The excess energy over the best structure of this formula in the dataset comes out at 39 meV per atom.

```
MgZrFeSi
1.0
2.740 -0.675 3.516
1.739 3.523 2.213
-1.410 0.960 4.174
Si Fe Mg Zr
1 1 1 1
direct
0.500 0.500 0.500
0.000 0.000 0.000
0.750 0.750 0.750
0.250 0.250 0.250
```

10.
# MgZrFeSi

A relaxed MgZrFeSi crystal (PBE, OQMD via LeMat-Bulk).

The total magnetization is 0.0 Bohr magnetons per cell. The excess energy over the best structure of this formula in the dataset comes out at 0 meV per atom.

```
MgZrFeSi
1.0
0.000 3.089 3.089
3.089 0.000 3.089
3.089 3.089 0.000
Mg Zr Fe Si
1 1 1 1
direct
0.750 0.750 0.750
0.000 0.000 0.000
0.250 0.250 0.250
0.500 0.500 0.500
```

11.
# SmMgFe

A relaxed SmMgFe crystal (PBE, OQMD via LeMat-Bulk).

The value obtained for the raw total energy is -4.441 eV per atom. The total magnetization is 1.4 Bohr magnetons per cell.

```
SmMgFe
1.0
4.619 -0.486 -0.163
1.869 -4.170 -0.843
2.108 -0.824 -4.059
Fe Mg Sm
1 1 1
direct
0.000 0.000 0.000
0.250 0.250 0.250
0.750 0.750 0.750
```

12.
# SmMgFe

A relaxed SmMgFe crystal (PBE, OQMD via LeMat-Bulk).

The value obtained for the raw total energy is -3.872 eV per atom. The total magnetization is 2.0 Bohr magnetons per cell.

```
SmMgFe
1.0
-4.661 -1.197 0.537
-2.505 1.663 3.796
-3.448 3.339 -0.648
Mg Sm Fe
1 1 1
direct
0.750 0.750 0.750
0.000 0.000 0.000
0.250 0.250 0.250
```

13.
# Mg2Fe3Sn2

A relaxed Mg2Fe3Sn2 crystal (PBE, OQMD via LeMat-Bulk).

The value obtained for the raw total energy is -5.039 eV per atom. The total magnetization is 6.4 Bohr magnetons per cell.

```
Mg2Fe3Sn2
1.0
2.229 1.287 6.813
-2.229 1.287 6.813
0.000 -2.574 6.813
Fe Sn Mg
3 2 2
direct
0.894 0.894 0.894
0.355 0.355 0.355
0.626 0.626 0.626
0.018 0.018 0.018
0.494 0.494 0.494
0.760 0.760 0.760
0.227 0.227 0.227
```

14.
# Mg2FeSn

A relaxed Mg2FeSn crystal (PBE, OQMD via LeMat-Bulk).

The value obtained for the raw total energy is -3.663 eV per atom. The total magnetization is 1.6 Bohr magnetons per cell.

```
Mg2FeSn
1.0
0.000 3.249 3.249
3.249 0.000 3.249
3.249 3.249 0.000
Fe Sn Mg
1 1 2
direct
0.250 0.250 0.250
0.500 0.500 0.500
0.000 0.000 0.000
0.750 0.750 0.750
```

15.
# MgFeTcSn

A relaxed MgFeTcSn crystal (PBE, OQMD via LeMat-Bulk).

The total magnetization is 2.3 Bohr magnetons per cell. The excess energy over the best structure of this formula in the dataset comes out at 0 meV per atom.

```
MgFeTcSn
1.0
-2.458 -0.461 3.714
-3.118 3.049 1.013
-4.341 -1.052 -0.305
Fe Sn Mg Tc
1 1 1 1
direct
0.750 0.750 0.750
0.000 0.000 0.000
0.500 0.500 0.500
0.250 0.250 0.250
```

16.
# MgFeSnW

A relaxed MgFeSnW crystal (PBE, OQMD via LeMat-Bulk).

The total magnetization is 3.0 Bohr magnetons per cell. The excess energy over the best structure of this formula in the dataset comes out at 68 meV per atom.

```
MgFeSnW
1.0
0.000 3.213 3.213
3.213 0.000 3.213
3.213 3.213 0.000
Fe W Mg Sn
1 1 1 1
direct
0.750 0.750 0.750
0.250 0.250 0.250
0.500 0.500 0.500
0.000 0.000 0.000
```

17.
# MgFeSnW

A relaxed MgFeSnW crystal (PBE, OQMD via LeMat-Bulk).

The total magnetization is 2.0 Bohr magnetons per cell. The excess energy over the best structure of this formula in the dataset comes out at 0 meV per atom.

```
MgFeSnW
1.0
-0.022 -2.899 3.422
-3.847 -0.971 2.091
-1.865 -4.047 -0.502
Mg W Sn Fe
1 1 1 1
direct
0.250 0.250 0.250
0.500 0.500 0.500
0.000 0.000 0.000
0.750 0.750 0.750
```

18.
# SrMgFeW

A relaxed SrMgFeW crystal (PBE, OQMD via LeMat-Bulk).

The total magnetization is 1.2 Bohr magnetons per cell. The excess energy over the best structure of this formula in the dataset comes out at 0 meV per atom.

```
SrMgFeW
1.0
-4.559 -1.310 -0.275
-3.195 2.916 -1.965
-1.914 -1.068 -4.215
Mg Fe Sr W
1 1 1 1
direct
0.750 0.750 0.750
0.250 0.250 0.250
0.500 0.500 0.500
0.000 0.000 0.000
```

19.
# SrMgFeW

A relaxed SrMgFeW crystal (PBE, OQMD via LeMat-Bulk).

The total magnetization is 0.0 Bohr magnetons per cell. The excess energy over the best structure of this formula in the dataset comes out at 48 meV per atom.

```
SrMgFeW
1.0
0.000 3.313 3.313
3.313 0.000 3.313
3.313 3.313 0.000
W Sr Fe Mg
1 1 1 1
direct
0.250 0.250 0.250
0.500 0.500 0.500
0.000 0.000 0.000
0.750 0.750 0.750
```

20.
# SrMgFeW

A relaxed SrMgFeW crystal (PBE, OQMD via LeMat-Bulk).

The total magnetization is 5.3 Bohr magnetons per cell. The excess energy over the best structure of this formula in the dataset comes out at 281 meV per atom.

```
SrMgFeW
1.0
-4.596 -0.548 1.720
-3.850 1.425 -2.744
-2.996 -3.380 -1.995
Sr Fe W Mg
1 1 1 1
direct
0.250 0.250 0.250
0.500 0.500 0.500
0.000 0.000 0.000
0.750 0.750 0.750
```

21.
# MgTaZnFe

A relaxed MgTaZnFe crystal (PBE, OQMD via LeMat-Bulk).

The total magnetization is 2.1 Bohr magnetons per cell. The excess energy over the best structure of this formula in the dataset comes out at 274 meV per atom.

```
MgTaZnFe
1.0
1.281 -3.932 1.623
1.677 -0.269 4.105
-2.347 -1.939 3.235
Fe Ta Zn Mg
1 1 1 1
direct
0.750 0.750 0.750
0.250 0.250 0.250
0.000 0.000 0.000
0.500 0.500 0.500
```

22.
# MgTaZnFe

A relaxed MgTaZnFe crystal (PBE, OQMD via LeMat-Bulk).

The total magnetization is 1.0 Bohr magnetons per cell. The excess energy over the best structure of this formula in the dataset comes out at 0 meV per atom.

```
MgTaZnFe
1.0
-0.065 -4.241 1.062
-0.372 -1.200 4.189
-3.701 -1.840 1.427
Fe Zn Ta Mg
1 1 1 1
direct
0.750 0.750 0.750
0.000 0.000 0.000
0.500 0.500 0.500
0.250 0.250 0.250
```

23.
# TbMgFe

A relaxed TbMgFe crystal (PBE, OQMD via LeMat-Bulk).

The value obtained for the raw total energy is -4.424 eV per atom. The total magnetization is 1.4 Bohr magnetons per cell.

```
TbMgFe
1.0
-0.764 -4.284 -1.472
-3.948 -2.113 1.030
-3.114 -0.778 -3.287
Mg Tb Fe
1 1 1
direct
0.250 0.250 0.250
0.750 0.750 0.750
0.000 0.000 0.000
```

24.
# MgTlFeTc

A relaxed MgTlFeTc crystal (PBE, OQMD via LeMat-Bulk).

The total magnetization is 3.4 Bohr magnetons per cell. The excess energy over the best structure of this formula in the dataset comes out at 0 meV per atom.

```
MgTlFeTc
1.0
3.417 -1.804 2.361
2.936 2.693 2.151
-0.014 0.209 4.523
Fe Tl Mg Tc
1 1 1 1
direct
0.750 0.750 0.750
0.000 0.000 0.000
0.250 0.250 0.250
0.500 0.500 0.500
```

25.
# MgFe2Te3

A relaxed MgFe2Te3 crystal (PBE, OQMD via LeMat-Bulk).

The value obtained for the raw total energy is -4.664 eV per atom. The total magnetization is 7.0 Bohr magnetons per cell.

```
MgFe2Te3
1.0
-1.682 5.748 -3.407
-3.837 5.713 -0.342
7.212 5.151 5.128
Te Fe Mg
6 4 2
direct
0.931 0.931 0.750
0.364 0.364 0.478
0.069 0.069 0.250
0.636 0.636 0.522
0.636 0.636 0.978
0.364 0.364 0.022
0.000 0.000 0.000
0.000 0.000 0.500
0.566 0.566 0.750
0.434 0.434 0.250
0.772 0.772 0.250
0.228 0.228 0.750
```

26.
# MgTlFeTe3

A relaxed MgTlFeTe3 crystal (PBE, OQMD via LeMat-Bulk).

The value obtained for the raw total energy is -3.882 eV per atom. The total magnetization is 6.0 Bohr magnetons per cell.

```
MgTlFeTe3
1.0
-8.591 -1.427 2.307
1.143 -2.884 2.475
4.595 7.479 6.592
Te Fe Mg Tl
6 2 2 2
direct
0.447 0.250 0.140
0.944 0.250 0.182
0.236 0.250 0.553
0.553 0.750 0.860
0.764 0.750 0.447
0.056 0.750 0.818
0.063 0.750 0.585
0.937 0.250 0.415
0.688 0.750 0.140
0.312 0.250 0.860
0.723 0.250 0.708
0.277 0.750 0.292
```

27.
# ThMgFe

A relaxed ThMgFe crystal (PBE, OQMD via LeMat-Bulk).

The value obtained for the raw total energy is -5.515 eV per atom. The total magnetization is 0.0 Bohr magnetons per cell.

```
ThMgFe
1.0
-3.202 -0.763 -3.157
-3.888 2.382 0.074
-0.821 3.126 -3.218
Fe Th Mg
1 1 1
direct
0.000 0.000 0.000
0.750 0.750 0.750
0.250 0.250 0.250
```

28.
# MgZrTlFe

A relaxed MgZrTlFe crystal (PBE, OQMD via LeMat-Bulk).

The total magnetization is 1.2 Bohr magnetons per cell. The excess energy over the best structure of this formula in the dataset comes out at 0 meV per atom.

```
MgZrTlFe
1.0
0.000 3.322 3.322
3.322 0.000 3.322
3.322 3.322 0.000
Zr Fe Tl Mg
1 1 1 1
direct
0.500 0.500 0.500
0.750 0.750 0.750
0.000 0.000 0.000
0.250 0.250 0.250
```

29.
# MgZrTlFe

A relaxed MgZrTlFe crystal (PBE, OQMD via LeMat-Bulk).

The total magnetization is 2.0 Bohr magnetons per cell. The excess energy over the best structure of this formula in the dataset comes out at 136 meV per atom.

```
MgZrTlFe
1.0
0.219 -4.762 0.261
-3.929 -2.519 1.004
-2.051 -2.673 -3.382
Tl Zr Mg Fe
1 1 1 1
direct
0.000 0.000 0.000
0.250 0.250 0.250
0.500 0.500 0.500
0.750 0.750 0.750
```

30.
# TmMgFe

A relaxed TmMgFe crystal (PBE, OQMD via LeMat-Bulk).

The value obtained for the raw total energy is -3.799 eV per atom. The total magnetization is 2.0 Bohr magnetons per cell.

```
TmMgFe
1.0
1.194 -0.668 4.539
-2.473 -3.029 2.681
1.952 -4.101 1.359
Mg Tm Fe
1 1 1
direct
0.750 0.750 0.750
0.000 0.000 0.000
0.250 0.250 0.250
```